Record 1
BeAlCu2 | GGA-PBE | optimized geometry

a = 4.6126 Å, b = 4.6126 Å, c = 3.8976 Å
α = 65.58°, β = 65.58°, γ = 38.61°
Positions (direct):
1 Cu 0.7447 0.7447 0.7533
2 Cu 0.9869 0.9869 0.0158
3 Be 0.2633 0.2633 0.2339
4 Al 0.5051 0.5051 0.4970

formation energy from the elements	-0.120	eV/atom
crystal system	monoclinic
size of the total moment	0.0	μB/f.u.
uncorrected energy	-4.04	eV per atom


Record 2
BeAlCu2 | GGA-PBE | optimized geometry

a = 8.0472 Å, b = 8.0472 Å, c = 8.0472 Å
α = 18.88°, β = 18.88°, γ = 18.88°
Positions (direct):
1 Al 0.2500 0.2500 0.2500
2 Cu 0.0066 0.0066 0.0066
3 Cu 0.4934 0.4934 0.4934
4 Be 0.7500 0.7500 0.7500

formation energy from the elements	0.014	eV/atom
crystal system	trigonal
size of the total moment	0.0	μB/f.u.
uncorrected energy	-3.90	eV per atom


Record 3
Be3AlCu6 | GGA-PBE | optimized geometry

a = 3.8182 Å, b = 7.0774 Å, c = 8.2605 Å
α = 101.87°, β = 90.00°, γ = 90.00°
Positions (direct):
1 Cu 0.7500 0.1851 0.7200
2 Cu 0.7500 0.3769 0.3058
3 Cu 0.2500 0.8149 0.2800
4 Cu 0.7500 0.8482 0.7874
5 Cu 0.7500 0.7238 0.4762
6 Cu 0.2500 0.0722 0.9121
7 Cu 0.2500 0.6231 0.6942
8 Cu 0.2500 0.1518 0.2126
9 Cu 0.2500 0.4573 0.0984
10 Cu 0.7500 0.9278 0.0879
11 Cu 0.2500 0.2762 0.5238
12 Cu 0.7500 0.5427 0.9016
13 Be 0.2500 0.7466 0.9852
14 Be 0.7500 0.4582 0.6017
15 Be 0.7500 0.2534 0.0148
16 Be 0.2500 0.3585 0.8120
17 Be 0.2500 0.5418 0.3983
18 Be 0.7500 0.6415 0.1880
19 Al 0.7500 0.0558 0.3949
20 Al 0.2500 0.9442 0.6051

formation energy from the elements	-0.109	eV/atom
crystal system	monoclinic
size of the total moment	0.0	μB/f.u.
uncorrected energy	-4.06	eV per atom


Q: What is the size of the total moment in the third record?
A: 0.0 μB/f.u.